w.
{"formula": "Al2Fe2Ge", "functional": "GGA-PBE", "state": "optimized geometry", "cell": [[-2.017, 4.725, 3.033], [-5.454, -2.414, 0.134], [0.843, -1.725, 3.248]], "species": ["Al", "Ge", "Fe", "Al", "Ge", "Al", "Fe", "Fe", "Fe", "Al"], "fractional_positions": [[0.342, 0.158, 0.500], [0.000, 0.000, 0.000], [0.645, 0.145, 0.000], [0.842, 0.342, 0.500], [0.500, 0.500, 0.000], [0.158, 0.658, 0.500], [0.855, 0.645, 0.000], [0.145, 0.355, 0.000], [0.355, 0.855, 0.000], [0.658, 0.842, 0.500]], "n_ef_per_ev_atom": 0.5957}

x.
{"formula": "Al2Fe2Ge", "functional": "GGA-PBE", "state": "optimized geometry", "cell": [[7.245, 0.000, 0.000], [0.000, 7.245, 0.000], [0.000, 0.000, 2.686]], "species": ["Fe", "Al", "Al", "Al", "Fe", "Al", "Fe", "Ge", "Fe", "Ge"], "fractional_positions": [[0.663, 0.837, 0.500], [0.368, 0.868, 0.000], [0.132, 0.368, 0.000], [0.632, 0.132, 0.000], [0.163, 0.663, 0.500], [0.868, 0.632, 0.000], [0.837, 0.337, 0.500], [0.500, 0.500, 0.000], [0.337, 0.163, 0.500], [0.000, 0.000, 0.000]], "n_ef_per_ev_atom": 0.9002}

How far above the most stable structure does each one sit? In kJ/mol of atoms: w 0.0; x 24.0.